A plane-wave DFT calculation with PBE was carried out for crystalline Li2SnPd at its relaxed geometry.

```
Li2SnPd
1.0
1.538 0.888 9.503
-1.538 0.888 9.503
0.000 -1.776 9.503
Li Sn Pd
2 1 1
direct
0.101 0.101 0.101
0.899 0.899 0.899
0.000 0.000 0.000
0.500 0.500 0.500
```

Fermi-level density of states	2.42	states/eV/f.u.
energy	-13.63	eV per cell

=====

A plane-wave DFT calculation with PBE was carried out for crystalline LiTlCo2 at its relaxed geometry.

```
LiTlCo2
1.0
2.875 0.000 0.000
0.000 4.516 0.000
-0.229 0.000 4.631
Li Tl Co
1 1 2
direct
0.000 0.000 0.000
0.500 0.000 0.500
0.253 0.500 0.798
0.747 0.500 0.202
```

Fermi-level density of states	3.18	states/eV/f.u.
energy	-16.92	eV per cell